Material: Zr2SiSb
Method: DFT, GGA-PBEsol
State: optimized geometry

Properties
As for the space group: P4mm, No. 99. Its magnetization is 0.0 μB per cell. The formation energy (no corrections) is -1.54 kcal/mol of atoms. The value obtained for the density of states at the Fermi level is 0.841 states/eV per atom. The value obtained for the density is 6.45 g/cm³.

POSCAR file:
```
Zr2SiSb
1.0
3.0691 0.0000 0.0000
0.0000 3.0691 0.0000
0.0000 0.0000 9.0820
Zr Si Sb
2 1 1
Direct
0.0000 0.0000 0.0000
0.5000 0.5000 0.2603
0.5000 0.5000 0.7984
0.0000 0.0000 0.5111
```

=====

Material: CaTlInSe2
Method: DFT, GGA-PBEsol
State: optimized geometry

Properties
As for the space group: P4/mmm, No. 123. Its magnetization is 0.0 μB per cell. The formation energy (no corrections) is -3.61 kcal/mol of atoms. The value obtained for the density of states at the Fermi level is 0.539 states/eV per atom. The value obtained for the density is 5.18 g/cm³.

POSCAR file:
```
CaTlInSe2
1.0
5.3902 0.0000 0.0000
0.0000 5.3902 0.0000
0.0000 0.0000 5.7104
Ca Tl In Se
1 1 1 2
Direct
0.0000 0.0000 0.0000
0.0000 0.0000 0.5000
0.5000 0.5000 0.5000
0.0000 0.5000 0.0000
0.5000 0.0000 0.0000
```

=====

Material: YCr2W
Method: DFT, GGA-PBEsol
State: optimized geometry

Properties
As for the space group: Imm2, No. 44. Its magnetization is 0.0 μB per cell. The calculation puts the formation energy at 57.49 kJ/mol of atoms. The value obtained for the density of states at the Fermi level is 1.138 states/eV per atom. The value obtained for the density is 10.03 g/cm³.

POSCAR file:
```
YCr2W
1.0
-1.4844 2.3122 4.5431
1.4844 -2.3122 4.5431
1.4844 2.3122 -4.5431
Y Cr W
1 2 1
Direct
0.0000 0.0000 0.0000
0.5341 0.5341 0.0000
0.7276 0.2276 0.5000
0.2773 0.7773 0.5000
```

=====

Material: Ba2Na2Cd
Method: DFT, GGA-PBEsol
State: optimized geometry

Properties
As for the space group: I4/mmm, No. 139. Its magnetization is 0.0 μB per cell. The calculation puts the formation energy at -4.66 kJ/mol of atoms. The value obtained for the density of states at the Fermi level is 0.738 states/eV per atom. The value obtained for the density is 3.51 g/cm³.

POSCAR file:
```
Ba2Na2Cd
1.0
-2.1746 2.1746 10.8172
2.1746 -2.1746 10.8172
2.1746 2.1746 -10.8172
Ba Na Cd
2 2 1
Direct
0.0891 0.0891 0.0000
0.9109 0.9109 0.0000
0.2500 0.7500 0.5000
0.7500 0.2500 0.5000
0.5000 0.5000 0.0000
```

=====

Material: CdCoRh2
Method: DFT, GGA-PBEsol
State: optimized geometry

Properties
As for the space group: C2/m, No. 12. Its magnetization is 2.5 μB per cell. The calculation puts the formation energy at 27.71 kJ/mol of atoms. The value obtained for the density of states at the Fermi level is 1.322 states/eV per atom. The value obtained for the density is 11.01 g/cm³.

POSCAR file:
```
CdCoRh2
1.0
2.6738 -4.4728 0.0000
2.6738 4.4728 0.0000
-1.2232 0.0000 2.3783
Cd Co Rh
1 1 2
Direct
0.0000 0.0000 0.0000
0.5000 0.5000 0.0000
0.0000 0.5000 0.5000
0.5000 0.0000 0.5000
```

=====

Material: CaZnRh
Method: DFT, GGA-PBEsol
State: optimized geometry

Properties
As for the space group: I4mm, No. 107. Its magnetization is 0.0 μB per cell. The calculation puts the formation energy at -30.57 kJ/mol of atoms. The value obtained for the density of states at the Fermi level is 0.501 states/eV per atom. The value obtained for the density is 6.34 g/cm³.

POSCAR file:
```
CaZnRh
1.0
-1.6444 1.6444 5.0481
1.6444 -1.6444 5.0481
1.6444 1.6444 -5.0481
Ca Zn Rh
1 1 1
Direct
0.0000 0.0000 0.0000
0.2903 0.2903 0.0000
0.6908 0.6908 0.0000
```

=====

What is the formula in the second record?
CaTlInSe2

=====

Which of these has the highest magnetization?
CdCoRh2

=====

Number 3 is which compound?
YCr2W